Material: Sm2CuNi12B3
Method: DFT, PBE
State: optimized geometry

Computed properties:
Space-group type: R-3m
D(E_F): 11.8 states/eV/cell
Formation energy from the elements: -0.001 eV per atom
Calculated total energy: -102.97 eV/cell
Calculated density: 7.69 g/cm3

a = 6.7468 Å, b = 6.7468 Å, c = 6.7468 Å
α = 64.30°, β = 64.30°, γ = 64.30°
Fractional coordinates of all 18 atoms:
Sm  0.5987  0.5987  0.5987
Sm  0.4013  0.4013  0.4013
Cu  0.0000  0.0000  0.0000
Ni  0.2748  0.2748  0.8821
Ni  0.8660  0.8660  0.4090
Ni  0.4090  0.8660  0.8660
Ni  0.8821  0.2748  0.2748
Ni  0.8660  0.4090  0.8660
Ni  0.2748  0.8821  0.2748
Ni  0.7252  0.7252  0.1179
Ni  0.1340  0.1340  0.5910
Ni  0.5910  0.1340  0.1340
Ni  0.1179  0.7252  0.7252
Ni  0.1340  0.5910  0.1340
Ni  0.7252  0.1179  0.7252
B  0.5000  0.0000  0.0000
B  0.0000  0.5000  0.0000
B  0.0000  0.0000  0.5000


Material: Tb2CuNi12B3
Method: DFT, PBE
State: optimized geometry

Computed properties:
Space-group type: R-3m
D(E_F): 11.6 states/eV/cell
Formation energy from the elements: -0.019 eV per atom
Calculated total energy: -103.11 eV/cell
Calculated density: 7.97 g/cm3

a = 6.7392 Å, b = 6.7392 Å, c = 6.7392 Å
α = 63.42°, β = 63.42°, γ = 63.42°
Fractional coordinates of all 18 atoms:
Tb  0.5959  0.5959  0.5959
Tb  0.4041  0.4041  0.4041
Cu  0.0000  0.0000  0.0000
Ni  0.2727  0.2727  0.8775
Ni  0.8605  0.8605  0.4210
Ni  0.4210  0.8605  0.8605
Ni  0.8775  0.2727  0.2727
Ni  0.8605  0.4210  0.8605
Ni  0.2727  0.8775  0.2727
Ni  0.7273  0.7273  0.1225
Ni  0.1395  0.1395  0.5790
Ni  0.5790  0.1395  0.1395
Ni  0.1225  0.7273  0.7273
Ni  0.1395  0.5790  0.1395
Ni  0.7273  0.1225  0.7273
B  0.5000  0.0000  0.0000
B  0.0000  0.5000  0.0000
B  0.0000  0.0000  0.5000


Material: Th2CuNi12B3
Method: DFT, PBE
State: optimized geometry

Computed properties:
Space-group type: R-3m
D(E_F): 10.1 states/eV/cell
Formation energy from the elements: -0.077 eV per atom
Calculated total energy: -109.73 eV/cell
Calculated density: 8.74 g/cm3

a = 6.7212 Å, b = 6.7212 Å, c = 6.7212 Å
α = 65.46°, β = 65.46°, γ = 65.46°
Fractional coordinates of all 18 atoms:
Th  0.6065  0.6065  0.6065
Th  0.3935  0.3935  0.3935
Cu  0.0000  0.0000  0.0000
Ni  0.2804  0.2804  0.8799
Ni  0.8689  0.8689  0.3977
Ni  0.3977  0.8689  0.8689
Ni  0.8799  0.2804  0.2804
Ni  0.8689  0.3977  0.8689
Ni  0.2804  0.8799  0.2804
Ni  0.7196  0.7196  0.1201
Ni  0.1311  0.1311  0.6023
Ni  0.6023  0.1311  0.1311
Ni  0.1201  0.7196  0.7196
Ni  0.1311  0.6023  0.1311
Ni  0.7196  0.1201  0.7196
B  0.5000  0.0000  0.0000
B  0.0000  0.5000  0.0000
B  0.0000  0.0000  0.5000


Material: Tm2CuNi12B3
Method: DFT, PBE
State: optimized geometry

Computed properties:
Space-group type: R-3m
D(E_F): 11.5 states/eV/cell
Formation energy from the elements: -0.036 eV per atom
Calculated total energy: -103.09 eV/cell
Calculated density: 8.28 g/cm3

a = 6.7185 Å, b = 6.7185 Å, c = 6.7185 Å
α = 62.92°, β = 62.92°, γ = 62.92°
Fractional coordinates of all 18 atoms:
Tm  0.5938  0.5938  0.5938
Tm  0.4062  0.4062  0.4062
Cu  0.0000  0.0000  0.0000
Ni  0.2714  0.2714  0.8735
Ni  0.8558  0.8558  0.4311
Ni  0.4311  0.8558  0.8558
Ni  0.8735  0.2714  0.2714
Ni  0.8558  0.4311  0.8558
Ni  0.2714  0.8735  0.2714
Ni  0.7286  0.7286  0.1265
Ni  0.1442  0.1442  0.5689
Ni  0.5689  0.1442  0.1442
Ni  0.1265  0.7286  0.7286
Ni  0.1442  0.5689  0.1442
Ni  0.7286  0.1265  0.7286
B  0.5000  0.0000  0.0000
B  0.0000  0.5000  0.0000
B  0.0000  0.0000  0.5000